GdVO2: optimized geometry, PBE with a Hubbard U.

It has space group R-3m (No. 166, hexagonal axes), with a = 3.3148 Å, b = 3.3148 Å, c = 19.0949 Å, α = 90.00°, β = 90.00° and γ = 120.00°. The asymmetric unit holds Gd at (0.0000, 0.0000, 0.0000), V at (0.0000, 0.0000, 0.5000) and O at (0.0000, 0.0000, 0.1156).

Its crystal system is trigonal. As for the electronic total energy: -9.715 eV/atom.